DFT (PBE-GGA) results for AgHgSeCl after structural relaxation.

Computed properties:
Total magnetization   0.0 μB per cell
Formation energy from raw total energies   -0.209 eV per atom
Density of states at the Fermi level   1.093 states/eV/cell

a b c (Å): 4.431 4.432 7.814
angles (deg): 73.61 73.53 60.00
Fractional positions:
Ag: 0.288 0.506 0.918
Hg: 0.746 0.957 0.550
Se: 0.628 0.846 0.898
Cl: 0.466 0.680 0.388

=====

DFT (PBE-GGA) results for Ag2HgSeCl after structural relaxation.

Computed properties:
Total magnetization   0.0 μB per cell
Formation energy from raw total energies   -0.177 eV per atom
Density of states at the Fermi level   0.586 states/eV/cell

a b c (Å): 6.754 6.754 7.429
angles (deg): 117.03 117.03 90.00
Fractional positions:
Ag: 0.264 0.764 0.902
Ag: 0.764 0.637 0.902
Ag: 0.637 0.137 0.902
Ag: 0.137 0.264 0.902
Hg: 0.779 0.779 0.558
Hg: 0.279 0.279 0.558
Se: 0.042 0.042 0.084
Se: 0.542 0.542 0.084
Cl: 0.778 0.278 0.555
Cl: 0.278 0.778 0.555